VASP calculation (PBE with a Hubbard U) on a geometry-optimized LiV2AsO8 structure.

Cell lengths 5.5566, 5.5566, 5.5566 Å; angles 107.55, 107.55, 113.38 degrees
Last column: nearest neighbours and their distance in Å.
Fractional positions:
Li 0.0000 0.0000 0.0000  4 O 2.02
V 0.7500 0.2500 0.5000  4 O 1.74
V 0.5000 0.5000 0.0000  4 O 1.75
As 0.2500 0.7500 0.5000  4 O 1.93
O 0.3622 0.0593 0.3029  1 V 1.74
O 0.3312 0.5467 0.2155  1 V 1.75, 1 As 1.93
O 0.3312 0.1157 0.7845  1 V 1.75, 1 As 1.93
O 0.7564 0.0593 0.6971  1 V 1.74
O 0.8843 0.6688 0.2155  1 V 1.75, 1 As 1.93
O 0.9407 0.2436 0.3029  1 V 1.74
O 0.9407 0.6378 0.6971  1 V 1.74
O 0.4533 0.6688 0.7845  1 V 1.75, 1 As 1.93

Space group   No. 119
Final energy   -6.376 eV/atom